# 1
{"formula": "ZnMo2Rh", "functional": "PBE-GGA", "state": "optimized geometry", "lattice": [[3.210, 0.000, 0.000], [0.000, 3.210, 0.000], [0.000, 0.000, 5.854]], "species": ["Zn", "Mo", "Mo", "Rh"], "frac_coords": [[0.000, 0.000, 0.000], [0.000, 0.000, 0.493], [0.500, 0.500, 0.262], [0.500, 0.500, 0.778]], "vol_a3_per_atom": 15.075, "rho_g_cm3": 9.92, "final_energy_ev_per_cell": -30.34, "ef_kj_per_mol_fu": -5}



# 2
{"formula": "ZnMo2Rh", "functional": "PBE-GGA", "state": "optimized geometry", "lattice": [[1.394, 0.805, 9.031], [-1.394, 0.805, 9.031], [0.000, -1.610, 9.031]], "species": ["Zn", "Mo", "Mo", "Rh"], "frac_coords": [[0.000, 0.000, 0.000], [0.508, 0.508, 0.508], [0.752, 0.752, 0.752], [0.253, 0.253, 0.253]], "vol_a3_per_atom": 15.196, "rho_g_cm3": 9.84, "final_energy_ev_per_cell": -30.06, "ef_kj_per_mol_fu": 22}



# 3
{"formula": "ZnMo4Rh", "functional": "PBE-GGA", "state": "optimized geometry", "lattice": [[0.000, 3.659, 3.659], [3.659, 0.000, 3.659], [3.659, 3.659, 0.000]], "species": ["Zn", "Mo", "Mo", "Mo", "Mo", "Rh"], "frac_coords": [[0.000, 0.000, 0.000], [0.121, 0.626, 0.626], [0.626, 0.121, 0.626], [0.626, 0.626, 0.121], [0.626, 0.626, 0.626], [0.250, 0.250, 0.250]], "vol_a3_per_atom": 16.333, "rho_g_cm3": 9.35, "final_energy_ev_per_cell": -49.91, "ef_kj_per_mol_fu": 196}



# 4
{"formula": "ZnMoRh", "functional": "PBE-GGA", "state": "optimized geometry", "lattice": [[0.000, 2.950, 2.950], [2.950, 0.000, 2.950], [2.950, 2.950, 0.000]], "species": ["Zn", "Mo", "Rh"], "frac_coords": [[0.000, 0.000, 0.000], [0.500, 0.500, 0.500], [0.250, 0.250, 0.250]], "vol_a3_per_atom": 17.124, "rho_g_cm3": 8.54, "final_energy_ev_per_cell": -18.88, "ef_kj_per_mol_fu": 55}